Below is crystalline Ba4Mg2Ni at its relaxed geometry, with properties calculated at the PBE level.

Output
formation energy from the elements = 9.7 kJ per mole of atoms
ρ = 3.31 g/cm3
final energy = -15.959 eV per formula unit
calculated volume = 329.6 Å³ per cell
space group = I4/mmm, No. 139

Unit cell a=5.919 b=5.919 c=10.297 alpha=106.70 beta=106.70 gamma=90.00
Fractional coordinates of all 7 atoms:
Ba 0.500 0.000 0.000
Ba 0.828 0.828 0.657
Mg 0.628 0.628 0.256
Mg 0.372 0.372 0.744
Ba 0.172 0.172 0.343
Ni 0.000 0.000 0.000
Ba 0.000 0.500 0.000

***

Below is crystalline V3OsPb at its relaxed geometry, with properties calculated at the PBE level.

Output
formation energy from the elements = 87.0 kJ per mole of atoms
ρ = 9.07 g/cm3
final energy = -37.786 eV per formula unit
calculated volume = 100.7 Å³ per cell
space group = Pm-3m, No. 221
E above lowest polymorph = 0.00 kJ per mole of atoms

Unit cell a=4.652 b=4.652 c=4.652 alpha=90.00 beta=90.00 gamma=90.00
Fractional coordinates of all 5 atoms:
V 0.500 0.000 0.000
Pb 0.500 0.500 0.500
Os 0.000 0.000 0.000
V 0.000 0.000 0.500
V 0.000 0.500 0.000

***

Below is crystalline Tl3Cl at its relaxed geometry, with properties calculated at the PBE level.

Output
ρ = 8.76 g/cm3
final energy = -10.253 eV per formula unit
calculated volume = 123.0 Å³ per cell
space group = P-6m2, No. 187
E above lowest polymorph = 4.75 kJ per mole of atoms
formation energy from raw total energies = -327 meV/atom

Unit cell a=3.778 b=3.778 c=9.949 alpha=90.00 beta=90.00 gamma=120.00
Fractional coordinates of all 4 atoms:
Tl 0.667 0.333 0.227
Tl 0.667 0.333 0.773
Tl 0.000 0.000 0.500
Cl 0.000 0.000 0.000

***

Below is crystalline Tl3ZnFe at its relaxed geometry, with properties calculated at the PBE level.

Output
formation energy from the elements = 83.1 kJ per mole of atoms
ρ = 8.21 g/cm3
final energy = -12.530 eV per formula unit
calculated volume = 148.6 Å³ per cell
space group = Pm-3m, No. 221
E above lowest polymorph = 43.36 kJ per mole of atoms

Unit cell a=5.297 b=5.297 c=5.297 alpha=90.00 beta=90.00 gamma=90.00
Fractional coordinates of all 5 atoms:
Fe 0.500 0.500 0.500
Zn 0.000 0.000 0.000
Tl 0.000 0.500 0.000
Tl 0.000 0.000 0.500
Tl 0.500 0.000 0.000

***

Below is crystalline Tb6Ir5Pd at its relaxed geometry, with properties calculated at the PBE level.

Output
formation energy from the elements = -78.7 kJ per mole of atoms
ρ = 13.57 g/cm3
final energy = -87.062 eV per formula unit
calculated volume = 247.4 Å³ per cell
space group = Cmmm, No. 65

Unit cell a=4.819 b=7.101 c=7.620 alpha=90.00 beta=71.57 gamma=90.00
Fractional coordinates of all 12 atoms:
Ir 0.000 0.500 0.000
Tb 0.169 0.251 0.663
Pd 0.000 0.000 0.000
Tb 0.831 0.749 0.337
Tb 0.500 0.254 0.000
Ir 0.333 0.500 0.334
Tb 0.500 0.746 0.000
Ir 0.335 0.000 0.330
Ir 0.665 0.000 0.670
Tb 0.169 0.749 0.663
Tb 0.831 0.251 0.337
Ir 0.667 0.500 0.666

***

Below is crystalline Ac8Sn5Hg at its relaxed geometry, with properties calculated at the PBE level.

Output
formation energy from the elements = -60.0 kJ per mole of atoms
ρ = 8.25 g/cm3
final energy = -61.896 eV per formula unit
calculated volume = 525.4 Å³ per cell
space group = I-4, No. 82

Unit cell a=8.804 b=8.804 c=8.804 alpha=109.74 beta=108.93 gamma=109.74
Fractional coordinates of all 14 atoms:
Ac 0.983 0.111 0.734
Sn 0.002 0.376 0.128
Sn 0.872 0.874 0.247
Sn 0.374 0.126 0.998
Ac 0.623 0.889 0.872
Sn 0.753 0.624 0.626
Hg 0.250 0.500 0.750
Sn 0.500 0.000 0.500
Ac 0.759 0.244 0.367
Ac 0.266 0.249 0.377
Ac 0.128 0.751 0.017
Ac 0.633 0.391 0.876
Ac 0.124 0.756 0.515
Ac 0.485 0.609 0.241

***

Below is crystalline TlTc2Au at its relaxed geometry, with properties calculated at the PBE level.

Output
formation energy from the elements = 69.1 kJ per mole of atoms
ρ = 14.20 g/cm3
final energy = -23.509 eV per formula unit
calculated volume = 69.9 Å³ per cell
space group = Immm, No. 71
E above lowest polymorph = 42.49 kJ per mole of atoms

Unit cell a=5.514 b=5.514 c=5.514 alpha=146.02 beta=131.14 gamma=60.85
Fractional coordinates of all 4 atoms:
Tc 0.500 0.500 0.000
Au 0.750 0.250 0.500
Tc 0.000 0.000 0.000
Tl 0.250 0.750 0.500

***

Below is crystalline UTiCo2 at its relaxed geometry, with properties calculated at the PBE level.

Output
formation energy from the elements = -19.1 kJ per mole of atoms
ρ = 11.47 g/cm3
final energy = -34.188 eV per formula unit
calculated volume = 58.5 Å³ per cell
space group = P4/mmm, No. 123
E above lowest polymorph = 0.00 kJ per mole of atoms

Unit cell a=2.954 b=2.954 c=6.702 alpha=90.00 beta=90.00 gamma=90.00
Fractional coordinates of all 4 atoms:
Co 0.000 0.000 0.214
Co 0.000 0.000 0.786
Ti 0.500 0.500 0.000
U 0.500 0.500 0.500

***

Below is crystalline HoTiHgAu at its relaxed geometry, with properties calculated at the PBE level.

Output
formation energy from the elements = -32.8 kJ per mole of atoms
ρ = 11.85 g/cm3
final energy = -17.411 eV per formula unit
calculated volume = 85.5 Å³ per cell
space group = F-43m, No. 216

Unit cell a=4.945 b=4.945 c=4.945 alpha=60.00 beta=60.00 gamma=60.00
Fractional coordinates of all 4 atoms:
Ho 0.750 0.750 0.750
Ti 0.250 0.250 0.250
Hg 0.000 0.000 0.000
Au 0.500 0.500 0.500

***

Below is crystalline B2P2S at its relaxed geometry, with properties calculated at the PBE level.

Output
ρ = 2.88 g/cm3
final energy = -27.569 eV per formula unit
calculated volume = 66.8 Å³ per cell
space group = P1, No. 1
E above lowest polymorph = 28.82 kJ per mole of atoms
formation energy from raw total energies = 147 meV/atom

Unit cell a=4.132 b=4.259 c=4.770 alpha=63.89 beta=65.34 gamma=89.92
Fractional coordinates of all 5 atoms:
S 0.396 0.222 0.406
P 0.499 0.323 0.878
P 0.017 0.860 0.131
B 0.675 0.858 0.567
B 0.875 0.040 0.745

***

Below is crystalline Ni2OsRhPb at its relaxed geometry, with properties calculated at the PBE level.

Output
formation energy from the elements = 206.9 kJ per mole of atoms
ρ = 9.52 g/cm3
final energy = -23.132 eV per formula unit
calculated volume = 107.8 Å³ per cell
space group = P4/mmm, No. 123

Unit cell a=4.622 b=5.045 c=4.622 alpha=90.00 beta=90.00 gamma=90.00
Fractional coordinates of all 5 atoms:
Pb 0.000 0.000 0.000
Ni 0.000 0.000 0.500
Os 0.000 0.500 0.000
Ni 0.500 0.000 0.000
Rh 0.500 0.500 0.500

***

Below is crystalline Sr2YAu at its relaxed geometry, with properties calculated at the PBE level.

Output
formation energy from the elements = -4.5 kJ per mole of atoms
ρ = 5.90 g/cm3
final energy = -13.294 eV per formula unit
calculated volume = 129.9 Å³ per cell
space group = Pmmm, No. 47
E above lowest polymorph = 30.13 kJ per mole of atoms

Unit cell a=4.602 b=5.331 c=5.293 alpha=90.00 beta=90.00 gamma=90.00
Fractional coordinates of all 4 atoms:
Sr 0.500 0.500 0.000
Au 0.000 0.500 0.500
Y 0.500 0.000 0.500
Sr 0.000 0.000 0.000